Record 1
First-principles (PBE-GGA) data for an optimized crystal structure of RbCr3B, as listed in Alexandria via LeMat-Bulk.

abc: 4.5454 4.5454 4.5454
angles: 90.00 90.00 90.00
Fractional coordinates of all 5 atoms:
Rb (0.0000, 0.0000, 0.0000)
Cr (0.0000, 0.5000, 0.5000)
Cr (0.5000, 0.0000, 0.5000)
Cr (0.5000, 0.5000, 0.0000)
B (0.5000, 0.5000, 0.5000)

Distance to the lowest polymorph of the same formula   0.0 meV/atom
Formation enthalpy at 0 K   1139.7 meV/atom
Mass density   4.5 g/cm³
N(E_F)   0.3701 states/eV/atom
Symmetry   Pm-3m (221)
E_tot   -0.453 Ry/atom

Record 2
First-principles (PBE-GGA) data for an optimized crystal structure of Rb2CrBSe4, as listed in Alexandria via LeMat-Bulk.

abc: 13.8841 12.4972 7.4240
angles: 84.27 63.59 32.14
Fractional coordinates of all 16 atoms:
Rb (0.0538, 0.0538, 0.6962)
Rb (0.3038, 0.3038, 0.9462)
Rb (0.6962, 0.6962, 0.0538)
Rb (0.9462, 0.9462, 0.3038)
Cr (0.1250, 0.1250, 0.1250)
Cr (0.8750, 0.8750, 0.8750)
B (0.3750, 0.3750, 0.3750)
B (0.6250, 0.6250, 0.6250)
Se (0.0302, 0.6231, 0.5494)
Se (0.2973, 0.5494, 0.6231)
Se (0.3769, 0.9698, 0.7027)
Se (0.4506, 0.7027, 0.9698)
Se (0.5494, 0.2973, 0.0302)
Se (0.6231, 0.0302, 0.2973)
Se (0.7027, 0.4506, 0.3769)
Se (0.9698, 0.3769, 0.4506)

Mass density   3.7 g/cm³
N(E_F)   0.1245 states/eV/atom
Symmetry   Fddd (70)
E_tot   -0.344 Ry/atom
Formation energy without anion corrections   -653 meV per atom

Record 3
First-principles (PBE-GGA) data for an optimized crystal structure of RbCrBSe4, as listed in Alexandria via LeMat-Bulk.

abc: 6.0855 6.6180 8.6961
angles: 90.00 96.58 90.00
Fractional coordinates of all 14 atoms:
Rb (0.2351, 0.2500, 0.0578)
Rb (0.7649, 0.7500, 0.9422)
Cr (0.1821, 0.7500, 0.4601)
Cr (0.8179, 0.2500, 0.5399)
B (0.3360, 0.2500, 0.6478)
B (0.6640, 0.7500, 0.3522)
Se (0.1196, 0.0108, 0.6750)
Se (0.1196, 0.4892, 0.6750)
Se (0.3693, 0.7500, 0.2113)
Se (0.4371, 0.2500, 0.4328)
Se (0.5629, 0.7500, 0.5672)
Se (0.6307, 0.2500, 0.7887)
Se (0.8804, 0.5108, 0.3250)
Se (0.8804, 0.9892, 0.3250)

Mass density   4.4 g/cm³
N(E_F)   0.1501 states/eV/atom
Symmetry   P2_1/m (11)
E_tot   -0.362 Ry/atom
Formation energy without anion corrections   -463 meV per atom

Record 4
First-principles (PBE-GGA) data for an optimized crystal structure of RbCrTc2B, as listed in Alexandria via LeMat-Bulk.

abc: 4.1433 4.1433 5.2368
angles: 90.00 90.00 90.00
Fractional coordinates of all 5 atoms:
Rb (0.0000, 0.0000, 0.0000)
Cr (0.5000, 0.5000, 0.0000)
Tc (0.0000, 0.5000, 0.5000)
Tc (0.5000, 0.0000, 0.5000)
B (0.0000, 0.0000, 0.5000)

Formation enthalpy at 0 K   1771.9 meV/atom
Mass density   6.4 g/cm³
N(E_F)   1.6908 states/eV/atom
Symmetry   P4/mmm (123)
E_tot   -0.428 Ry/atom

Record 5
First-principles (PBE-GGA) data for an optimized crystal structure of Rb2CrBTe, as listed in Alexandria via LeMat-Bulk.

abc: 6.8712 6.8712 5.0461
angles: 90.00 90.00 90.00
Fractional coordinates of all 5 atoms:
Rb (0.0000, 0.5000, 0.0000)
Rb (0.5000, 0.0000, 0.0000)
Cr (0.0000, 0.0000, 0.0000)
B (0.5000, 0.5000, 0.5000)
Te (0.0000, 0.0000, 0.5000)

Mass density   2.5 g/cm³
N(E_F)   1.7593 states/eV/atom
Symmetry   P4/mmm (123)
E_tot   -0.236 Ry/atom
Formation energy without anion corrections   1065 meV per atom

Record 6
First-principles (PBE-GGA) data for an optimized crystal structure of RbZrCr2B, as listed in Alexandria via LeMat-Bulk.

abc: 4.1868 4.1868 4.9032
angles: 90.00 90.00 90.00
Fractional coordinates of all 5 atoms:
Rb (0.0000, 0.0000, 0.0000)
Zr (0.5000, 0.5000, 0.0000)
Cr (0.0000, 0.5000, 0.5000)
Cr (0.5000, 0.0000, 0.5000)
B (0.5000, 0.5000, 0.5000)

Formation enthalpy at 0 K   1225.3 meV/atom
Mass density   5.6 g/cm³
N(E_F)   1.4011 states/eV/atom
Symmetry   P4/mmm (123)
E_tot   -0.431 Ry/atom